TiBeSe2: single point on PBEsol structure, SCAN.

Unit cell a=5.7292 b=6.3515 c=5.7292 alpha=63.19 beta=90.00 gamma=116.81
With the nearest neighbours (Å) after each atom.
Sites, in units of the cell vectors:
Be (0.2500, 0.5000, 0.2500)  4 Se 2.21
Be (0.5000, 0.0000, 0.5000)  4 Se 2.21
Se (0.5775, 0.7500, 0.3750)  2 Be 2.21
Se (0.1725, 0.7500, 0.8750)  2 Be 2.21
Se (0.8750, 0.2500, 0.5775)  2 Be 2.21
Se (0.3750, 0.2500, 0.1725)  2 Be 2.21
Ti (0.7500, 0.5000, 0.7500)  4 Se 2.54
Ti (0.0000, 0.0000, 0.0000)  4 Se 2.54

Output
E_tot ... -127.52 eV for the cell shown
Crystal system ... tetragonal
Size of the total moment ... 4.002 μB/cell
Raw formation energy ... -0.805 eV per atom

BeTlZn2Se: single point on PBEsol structure, SCAN.

Unit cell a=5.0256 b=5.0256 c=5.4636 alpha=90.00 beta=90.00 gamma=90.00
With the nearest neighbours (Å) after each atom.
Sites, in units of the cell vectors:
Be (0.5000, 0.5000, 0.5000)  4 Se 3.55, 8 Zn 3.71
Tl (0.0000, 0.0000, 0.0000)  4 Zn 2.51, 2 Se 2.73
Zn (0.0000, 0.5000, 0.0000)  2 Tl 2.51
Zn (0.5000, 0.0000, 0.0000)  2 Tl 2.51
Se (0.0000, 0.0000, 0.5000)  2 Tl 2.73

Output
E_tot ... -118.53 eV for the cell shown
Crystal system ... tetragonal
Size of the total moment ... 0.000 μB/cell
Raw formation energy ... 1.058 eV per atom

BeTl2ZnSe: single point on PBEsol structure, SCAN.

Unit cell a=4.8233 b=5.3219 c=5.3219 alpha=90.00 beta=90.00 gamma=90.00
With the nearest neighbours (Å) after each atom.
Sites, in units of the cell vectors:
Be (0.5000, 0.5000, 0.5000)  8 Tl 3.59, 4 Se 3.76
Tl (0.0000, 0.0000, 0.5000)  2 Zn 2.66
Tl (0.0000, 0.5000, 0.0000)  2 Zn 2.66
Zn (0.0000, 0.0000, 0.0000)  2 Se 2.41, 4 Tl 2.66
Se (0.5000, 0.0000, 0.0000)  2 Zn 2.41

Output
E_tot ... -179.54 eV for the cell shown
Crystal system ... tetragonal
Size of the total moment ... 0.000 μB/cell
Raw formation energy ... 0.624 eV per atom

YBeSe2: single point on PBEsol structure, SCAN.

Unit cell a=3.9753 b=4.0637 c=6.2027 alpha=92.79 beta=90.00 gamma=119.28
With the nearest neighbours (Å) after each atom.
Sites, in units of the cell vectors:
Y (0.5000, 0.0000, 0.0000)  6 Se 2.81-2.87
Be (0.0000, 0.0000, 0.5000)  2 Se 2.05
Se (0.8089, 0.6177, 0.7352)  1 Be 2.05
Se (0.1911, 0.3823, 0.2648)  1 Be 2.05

Output
E_tot ... -76.63 eV for the cell shown
Crystal system ... monoclinic
Size of the total moment ... 0.000 μB/cell
Raw formation energy ... -1.070 eV per atom

YBeSe2: single point on PBEsol structure, SCAN.

Unit cell a=3.4329 b=3.4329 c=6.4965 alpha=90.00 beta=90.00 gamma=90.00
With the nearest neighbours (Å) after each atom.
Sites, in units of the cell vectors:
Y (0.5000, 0.5000, 0.0000)  8 Se 2.96, 2 Be 3.25
Be (0.5000, 0.5000, 0.5000)  8 Se 2.89
Se (0.0000, 0.0000, 0.7406)  4 Be 2.89, 4 Y 2.96, 1 Se 3.13
Se (0.0000, 0.0000, 0.2594)  4 Be 2.89, 4 Y 2.96, 1 Se 3.13

Output
E_tot ... -74.87 eV for the cell shown
Crystal system ... tetragonal
Size of the total moment ... 0.000 μB/cell
Raw formation energy ... -0.630 eV per atom

YBe2Se2: single point on PBEsol structure, SCAN.

Unit cell a=4.5605 b=5.1339 c=4.5605 alpha=63.63 beta=90.00 gamma=116.37
With the nearest neighbours (Å) after each atom.
Sites, in units of the cell vectors:
Y (0.0000, 0.0000, 0.0000)  2 Be 2.90, 8 Se 3.03
Be (0.6376, 0.2752, 0.3624)  1 Be 2.20, 4 Se 2.45
Be (0.3624, 0.7248, 0.6376)  1 Be 2.20, 4 Se 2.45
Se (0.7500, 0.5000, 0.7500)  4 Be 2.45
Se (0.2500, 0.5000, 0.2500)  4 Be 2.45

Output
E_tot ... -79.47 eV for the cell shown
Crystal system ... tetragonal
Size of the total moment ... 0.000 μB/cell
Raw formation energy ... -0.553 eV per atom

Y2BeSe: single point on PBEsol structure, SCAN.

Unit cell a=4.6244 b=5.0568 c=4.6244 alpha=62.79 beta=90.00 gamma=117.21
With the nearest neighbours (Å) after each atom.
Sites, in units of the cell vectors:
Y (0.2500, 0.5000, 0.2500)  4 Se 3.01, 4 Be 3.01, 4 Y 3.27
Y (0.7500, 0.5000, 0.7500)  4 Se 3.01, 4 Be 3.01, 4 Y 3.27
Be (0.5000, 0.0000, 0.5000)  8 Y 3.01, 4 Se 3.27
Se (0.0000, 0.0000, 0.0000)  8 Y 3.01, 4 Be 3.27

Output
E_tot ... -82.14 eV for the cell shown
Crystal system ... tetragonal
Size of the total moment ... 0.001 μB/cell
Raw formation energy ... -0.505 eV per atom

YBeSe: single point on PBEsol structure, SCAN.

Unit cell a=3.7705 b=4.0117 c=4.0117 alpha=120.00 beta=90.00 gamma=90.00
With the nearest neighbours (Å) after each atom.
Sites, in units of the cell vectors:
Y (0.5000, 0.3333, 0.6667)  6 Be 2.99, 6 Se 2.99
Be (0.0000, 0.0000, 0.0000)  3 Se 2.32
Se (0.0000, 0.6667, 0.3333)  3 Be 2.32

Output
E_tot ... -54.17 eV for the cell shown
Crystal system ... hexagonal
Size of the total moment ... 0.021 μB/cell
Raw formation energy ... -0.632 eV per atom

BeZn2Se: single point on PBEsol structure, SCAN.

Unit cell a=2.9898 b=2.9898 c=7.5718 alpha=90.00 beta=90.00 gamma=110.18
With the nearest neighbours (Å) after each atom.
Sites, in units of the cell vectors:
Be (0.0000, 0.0000, 0.4920)  2 Se 2.21, 2 Zn 2.44
Zn (0.0000, 0.0000, 0.9781)  2 Zn 2.59
Zn (0.5000, 0.5000, 0.7216)  2 Be 2.44, 2 Zn 2.59
Se (0.5000, 0.5000, 0.3083)  2 Be 2.21

Output
E_tot ... -50.24 eV for the cell shown
Crystal system ... orthorhombic
Size of the total moment ... 0.000 μB/cell
Raw formation energy ... 0.306 eV per atom

BeZn2Se: single point on PBEsol structure, SCAN.

Unit cell a=3.2873 b=3.2873 c=6.0982 alpha=90.00 beta=90.00 gamma=90.00
With the nearest neighbours (Å) after each atom.
Sites, in units of the cell vectors:
Be (0.0000, 0.0000, 0.6349)  4 Se 2.33, 1 Zn 2.45
Zn (0.0000, 0.0000, 0.0370)  1 Be 2.45, 4 Zn 2.55
Zn (0.5000, 0.5000, 0.2089)  1 Se 2.50, 4 Zn 2.55
Se (0.5000, 0.5000, 0.6192)  4 Be 2.33, 1 Zn 2.50

Output
E_tot ... -51.03 eV for the cell shown
Crystal system ... tetragonal
Size of the total moment ... 0.000 μB/cell
Raw formation energy ... 0.107 eV per atom

BeZnSe3: single point on PBEsol structure, SCAN.

Unit cell a=4.7898 b=4.7898 c=4.7898 alpha=90.00 beta=90.00 gamma=90.00
With the nearest neighbours (Å) after each atom.
Sites, in units of the cell vectors:
Be (0.5000, 0.5000, 0.5000)  12 Se 3.39
Zn (0.0000, 0.0000, 0.0000)  6 Se 2.39
Se (0.0000, 0.5000, 0.0000)  2 Zn 2.39
Se (0.0000, 0.0000, 0.5000)  2 Zn 2.39
Se (0.5000, 0.0000, 0.0000)  2 Zn 2.39

Output
E_tot ... -73.73 eV for the cell shown
Crystal system ... cubic
Size of the total moment ... 0.000 μB/cell
Raw formation energy ... 0.875 eV per atom

BeZn2Se: single point on PBEsol structure, SCAN.

Unit cell a=3.9032 b=3.9032 c=4.7959 alpha=114.01 beta=114.01 gamma=90.00
With the nearest neighbours (Å) after each atom.
Sites, in units of the cell vectors:
Be (0.5000, 0.5000, 0.0000)  8 Zn 2.76-2.77, 4 Se 2.77
Zn (0.0000, 0.0000, 0.0000)  4 Be 2.76, 4 Se 2.77, 4 Zn 2.77
Zn (0.7500, 0.2500, 0.5000)  4 Se 2.76, 4 Be 2.77, 4 Zn 2.77
Se (0.2500, 0.7500, 0.5000)  8 Zn 2.76-2.77, 4 Be 2.77

Output
E_tot ... -49.78 eV for the cell shown
Crystal system ... tetragonal
Size of the total moment ... 0.000 μB/cell
Raw formation energy ... 0.419 eV per atom